Entry from Alexandria: a relaxed structure of CaMgRe2 (PBE-GGA).

Properties
E	-6.534	eV/atom
calculated formation energy	0.589	eV/atom
magnetic moment	0.0	Bohr magnetons per cell

Cell: 2.655 4.699 6.097 Å, 90.00 90.00 90.00°
Fractional coordinates of all 4 atoms:
Ca  0.500  0.500  0.250
Re  0.000  0.000  0.949
Mg  0.500  0.500  0.750
Re  0.000  0.000  0.551


Entry from Alexandria: a relaxed structure of InRu2Se (PBE-GGA).

Properties
E	-5.586	eV/atom
excess energy over the best structure of this formula in the dataset	471	meV/atom
magnetic moment	2.4	Bohr magnetons per cell
formation energy from raw total energies	0.608	eV per atom

Cell: 4.601 4.601 4.601 Å, 60.00 60.00 60.00°
Site moments in Bohr magnetons follow the coordinates.
Fractional coordinates of all 4 atoms:
Se  0.250  0.250  0.250  0.09
In  0.500  0.500  0.500  0.01
Ru  0.750  0.750  0.750  0.95
Ru  0.000  0.000  0.000  1.28


Entry from Alexandria: a relaxed structure of ScAg2Mo (PBE-GGA).

Properties
E	-5.096	eV/atom
calculated formation energy	0.620	eV/atom
excess energy over the best structure of this formula in the dataset	476	meV/atom
magnetic moment	0.9	Bohr magnetons per cell

Cell: 3.885 3.885 10.612 Å, 79.45 79.45 90.00°
Site moments in Bohr magnetons follow the coordinates.
Fractional coordinates of all 8 atoms:
Ag  0.629  0.125  0.250  0.00
Mo  0.000  0.000  0.000  0.39
Ag  0.121  0.625  0.250  0.01
Ag  0.875  0.879  0.750  0.01
Sc  0.250  0.750  0.500  0.00
Ag  0.375  0.371  0.750  0.01
Mo  0.750  0.250  0.500  0.39
Sc  0.500  0.500  0.000  0.00


Entry from Alexandria: a relaxed structure of BaPd2F8 (PBE-GGA).

Properties
E	-4.422	eV/atom
excess energy over the best structure of this formula in the dataset	0	meV/atom
magnetic moment	0.5	Bohr magnetons per cell
formation energy from raw total energies	-1.942	eV per atom

Cell: 4.478 6.511 8.199 Å, 128.76 90.19 96.95°
Site moments in Bohr magnetons follow the coordinates.
Fractional coordinates of all 11 atoms:
F  0.338  0.624  0.812  0.01
F  0.772  0.180  0.590  0.04
F  0.727  0.770  0.624  0.00
Pd  0.282  0.232  0.616  0.17
F  0.273  0.230  0.376  0.00
Ba  0.000  0.000  0.000  0.00
F  0.228  0.820  0.410  0.04
Pd  0.718  0.768  0.384  0.17
F  0.276  0.227  0.852  0.00
F  0.662  0.376  0.188  0.01
F  0.724  0.773  0.148  0.00


Entry from Alexandria: a relaxed structure of TbPmAlTc (PBE-GGA).

Properties
E	-5.940	eV/atom
calculated formation energy	-0.068	eV/atom
magnetic moment	0.0	Bohr magnetons per cell

Cell: 5.050 5.050 5.050 Å, 60.00 60.00 60.00°
Fractional coordinates of all 4 atoms:
Tc  0.250  0.250  0.250
Tb  0.000  0.000  0.000
Al  0.750  0.750  0.750
Pm  0.500  0.500  0.500


Entry from Alexandria: a relaxed structure of PmNd3Sm (PBE-GGA).

Properties
E	-4.464	eV/atom
calculated formation energy	0.291	eV/atom
excess energy over the best structure of this formula in the dataset	116	meV/atom
magnetic moment	0.0	Bohr magnetons per cell

Cell: 3.643 8.787 11.948 Å, 90.00 90.00 102.08°
Fractional coordinates of all 10 atoms:
Nd  0.852  0.200  0.001
Nd  0.148  0.800  0.501
Nd  0.641  0.790  0.250
Nd  0.359  0.210  0.750
Nd  0.148  0.800  0.999
Pm  0.306  0.119  0.250
Pm  0.694  0.881  0.750
Sm  0.969  0.460  0.250
Nd  0.852  0.200  0.499
Sm  0.031  0.540  0.750


Entry from Alexandria: a relaxed structure of Ac3TeSe3 (PBE-GGA).

Properties
E	-5.425	eV/atom
excess energy over the best structure of this formula in the dataset	118	meV/atom
magnetic moment	0.0	Bohr magnetons per cell
formation energy from raw total energies	-1.723	eV per atom

Cell: 8.382 8.382 8.426 Å, 75.45 75.45 98.62°
Fractional coordinates of all 14 atoms:
Ac  0.650  0.355  0.253
Ac  0.350  0.645  0.747
Se  0.668  0.668  0.417
Ac  0.975  0.975  0.261
Te  0.688  0.688  0.904
Ac  0.025  0.025  0.739
Se  0.823  0.177  0.500
Se  0.179  0.821  0.000
Ac  0.645  0.350  0.747
Te  0.312  0.312  0.096
Se  0.332  0.332  0.583
Ac  0.355  0.650  0.253
Se  0.177  0.823  0.500
Se  0.821  0.179  0.000


Entry from Alexandria: a relaxed structure of Pm2Dy2GaRh4 (PBE-GGA).

Properties
E	-6.108	eV/atom
calculated formation energy	-0.426	eV/atom
magnetic moment	0.0	Bohr magnetons per cell

Cell: 6.450 6.450 6.450 Å, 93.64 117.92 117.92°
Fractional coordinates of all 9 atoms:
Dy  0.500  0.250  0.750
Rh  0.515  0.257  0.257
Ga  0.000  0.000  0.000
Rh  0.000  0.743  0.257
Pm  0.000  0.314  0.314
Pm  0.000  0.686  0.686
Dy  0.500  0.750  0.250
Rh  0.485  0.743  0.743
Rh  0.000  0.257  0.743


Entry from Alexandria: a relaxed structure of Li6Cd5In (PBE-GGA).

Properties
E	-1.823	eV/atom
calculated formation energy	-0.257	eV/atom
magnetic moment	0.0	Bohr magnetons per cell

Cell: 4.782 8.238 8.238 Å, 121.42 106.99 106.99°
Fractional coordinates of all 12 atoms:
Cd  0.500  0.834  0.166
Li  0.751  0.251  0.251
In  0.000  0.000  0.000
Li  0.749  0.582  0.917
Cd  0.000  0.667  0.333
Li  0.251  0.418  0.083
Cd  0.000  0.333  0.667
Li  0.251  0.083  0.418
Li  0.749  0.917  0.582
Cd  0.500  0.500  0.500
Li  0.249  0.749  0.749
Cd  0.500  0.166  0.834


Entry from Alexandria: a relaxed structure of Si2AgW (PBE-GGA).

Properties
E	-5.886	eV/atom
excess energy over the best structure of this formula in the dataset	564	meV/atom
magnetic moment	0.0	Bohr magnetons per cell
formation energy from raw total energies	0.777	eV per atom

Cell: 6.888 6.888 5.651 Å, 52.45 52.45 90.00°
Fractional coordinates of all 8 atoms:
Si  0.634  0.125  0.250
Ag  0.250  0.750  0.500
W  0.000  0.000  0.000
Si  0.875  0.884  0.750
Ag  0.500  0.500  0.000
Si  0.375  0.366  0.750
Si  0.116  0.625  0.250
W  0.750  0.250  0.500


Entry from Alexandria: a relaxed structure of NaNb3Ir (PBE-GGA).

Properties
E	-5.934	eV/atom
calculated formation energy	2.143	eV/atom
excess energy over the best structure of this formula in the dataset	1180	meV/atom
magnetic moment	0.0	Bohr magnetons per cell

Cell: 4.566 4.566 4.566 Å, 90.00 90.00 90.00°
Fractional coordinates of all 5 atoms:
Na  0.000  0.000  0.000
Nb  0.000  0.500  0.000
Ir  0.500  0.500  0.500
Nb  0.500  0.000  0.000
Nb  0.000  0.000  0.500


Entry from Alexandria: a relaxed structure of GdPuZnGa (PBE-GGA).

Properties
E	-8.495	eV/atom
calculated formation energy	-0.317	eV/atom
magnetic moment	13.2	Bohr magnetons per cell

Cell: 5.084 5.084 5.084 Å, 60.00 60.00 60.00°
Site moments in Bohr magnetons follow the coordinates.
Fractional coordinates of all 4 atoms:
Zn  0.750  0.750  0.750  0.04
Gd  0.500  0.500  0.500  7.21
Ga  0.250  0.250  0.250  -0.06
Pu  0.000  0.000  0.000  5.40


Entry from Alexandria: a relaxed structure of BaZnIn2Au2 (PBE-GGA).

Properties
E	-2.820	eV/atom
calculated formation energy	-0.282	eV/atom
magnetic moment	0.0	Bohr magnetons per cell

Cell: 4.984 4.984 8.029 Å, 108.08 108.08 90.00°
Fractional coordinates of all 6 atoms:
Ba  0.500  0.500  0.000
In  0.250  0.750  0.500
In  0.750  0.250  0.500
Au  0.833  0.833  0.666
Au  0.167  0.167  0.334
Zn  0.000  0.000  0.000


Entry from Alexandria: a relaxed structure of LaEuScAl (PBE-GGA).

Properties
E	-6.347	eV/atom
calculated formation energy	-0.028	eV/atom
magnetic moment	8.3	Bohr magnetons per cell

Cell: 5.378 5.378 5.378 Å, 60.00 60.00 60.00°
Site moments in Bohr magnetons follow the coordinates.
Fractional coordinates of all 4 atoms:
La  0.500  0.500  0.500  0.22
Al  0.750  0.750  0.750  -0.03
Eu  0.250  0.250  0.250  7.00
Sc  0.000  0.000  0.000  0.38


Entry from Alexandria: a relaxed structure of YTl3Ge (PBE-GGA).

Properties
E	-2.908	eV/atom
calculated formation energy	0.728	eV/atom
excess energy over the best structure of this formula in the dataset	361	meV/atom
magnetic moment	0.2	Bohr magnetons per cell

Cell: 5.835 5.835 5.835 Å, 90.00 90.00 90.00°
Site moments in Bohr magnetons follow the coordinates.
Fractional coordinates of all 5 atoms:
Tl  0.500  0.000  0.000  0.02
Y  0.000  0.000  0.000  0.14
Tl  0.000  0.500  0.000  0.03
Tl  0.000  0.000  0.500  0.01
Ge  0.500  0.500  0.500  -0.04


Entry from Alexandria: a relaxed structure of BaSb2SeI (PBE-GGA).

Properties
E	-2.291	eV/atom
excess energy over the best structure of this formula in the dataset	990	meV/atom
magnetic moment	2.8	Bohr magnetons per cell
formation energy from raw total energies	0.749	eV per atom

Cell: 6.694 6.694 6.367 Å, 90.00 90.00 90.00°
Site moments in Bohr magnetons follow the coordinates.
Fractional coordinates of all 5 atoms:
I  0.000  0.000  0.500  0.07
Sb  0.000  0.500  0.000  0.43
Se  0.500  0.500  0.500  0.20
Sb  0.500  0.000  0.000  0.43
Ba  0.000  0.000  0.000  0.05


Entry from Alexandria: a relaxed structure of Sr2SBr (PBE-GGA).

Properties
E	-4.064	eV/atom
excess energy over the best structure of this formula in the dataset	0	meV/atom
magnetic moment	0.0	Bohr magnetons per cell
formation energy from raw total energies	-1.773	eV per atom

Cell: 4.336 4.336 7.761 Å, 73.78 73.78 60.00°
Fractional coordinates of all 4 atoms:
S  0.000  0.000  0.000
Sr  0.739  0.739  0.784
Sr  0.261  0.261  0.216
Br  0.500  0.500  0.500


Entry from Alexandria: a relaxed structure of Sr2RuO5 (PBE-GGA).

Properties
E	-6.461	eV/atom
excess energy over the best structure of this formula in the dataset	133	meV/atom
magnetic moment	4.0	Bohr magnetons per cell
formation energy from raw total energies	-1.782	eV per atom

Cell: 3.956 6.568 11.007 Å, 90.00 90.00 107.53°
Site moments in Bohr magnetons follow the coordinates.
Fractional coordinates of all 16 atoms:
O  0.263  0.527  0.119  0.09
Sr  0.859  0.718  0.432  0.01
Sr  0.141  0.282  0.568  0.01
O  0.953  0.905  0.872  0.22
O  0.953  0.905  0.628  0.22
O  0.047  0.095  0.372  0.22
O  0.737  0.473  0.881  0.09
Ru  0.153  0.307  0.250  1.17
Ru  0.847  0.693  0.750  1.17
Sr  0.859  0.718  0.068  0.01
O  0.333  0.666  0.750  -0.03
O  0.047  0.095  0.128  0.22
Sr  0.141  0.282  0.932  0.01
O  0.737  0.473  0.619  0.09
O  0.667  0.334  0.250  -0.03
O  0.263  0.527  0.381  0.09


Entry from Alexandria: a relaxed structure of NaSbTe (PBE-GGA).

Properties
E	-3.139	eV/atom
excess energy over the best structure of this formula in the dataset	180	meV/atom
magnetic moment	0.0	Bohr magnetons per cell
formation energy from raw total energies	-0.278	eV per atom

Cell: 4.337 4.484 6.000 Å, 111.90 111.22 90.02°
Fractional coordinates of all 3 atoms:
Na  0.530  0.813  0.993
Sb  0.778  0.561  0.488
Te  0.283  0.065  0.497


Entry from Alexandria: a relaxed structure of TlGe2Ru (PBE-GGA).

Properties
E	-4.910	eV/atom
calculated formation energy	0.309	eV/atom
excess energy over the best structure of this formula in the dataset	0	meV/atom
magnetic moment	0.0	Bohr magnetons per cell

Cell: 5.851 5.851 8.205 Å, 69.11 69.11 90.00°
Fractional coordinates of all 8 atoms:
Ge  0.328  0.625  0.250
Ge  0.422  0.125  0.250
Ge  0.375  0.578  0.750
Tl  0.750  0.250  0.500
Ge  0.875  0.672  0.750
Ru  0.250  0.750  0.500
Tl  0.000  0.000  0.000
Ru  0.500  0.500  0.000


Entry from Alexandria: a relaxed structure of Ti6SnPd8 (PBE-GGA).

Properties
E	-6.463	eV/atom
calculated formation energy	-0.269	eV/atom
magnetic moment	0.0	Bohr magnetons per cell

Cell: 3.446 9.385 9.385 Å, 120.00 90.00 90.00°
Fractional coordinates of all 15 atoms:
Pd  0.240  0.333  0.667
Sn  0.500  0.000  0.000
Ti  0.741  0.525  0.637
Ti  0.741  0.111  0.475
Pd  0.760  0.667  0.333
Ti  0.259  0.637  0.111
Pd  0.765  0.048  0.755
Ti  0.259  0.889  0.525
Ti  0.259  0.475  0.363
Pd  0.235  0.755  0.706
Pd  0.235  0.294  0.048
Pd  0.765  0.706  0.952
Pd  0.765  0.245  0.294
Ti  0.741  0.363  0.889
Pd  0.235  0.952  0.245


Entry from Alexandria: a relaxed structure of NpVOs (PBE-GGA).

Properties
E	-10.902	eV/atom
calculated formation energy	0.194	eV/atom
excess energy over the best structure of this formula in the dataset	97	meV/atom
magnetic moment	2.9	Bohr magnetons per cell

Cell: 2.770 4.497 4.497 Å, 120.00 90.00 90.00°
Site moments in Bohr magnetons follow the coordinates.
Fractional coordinates of all 3 atoms:
Os  0.632  0.333  0.667  -0.17
V  0.053  0.000  0.000  0.30
Np  0.315  0.667  0.333  2.75


Entry from Alexandria: a relaxed structure of Pr2AlRh3 (PBE-GGA).

Properties
E	-6.688	eV/atom
calculated formation energy	-0.795	eV/atom
magnetic moment	0.0	Bohr magnetons per cell

Cell: 5.209 5.209 5.209 Å, 67.17 67.17 67.17°
Fractional coordinates of all 6 atoms:
Pr  0.630  0.630  0.630
Rh  0.000  0.500  0.000
Rh  0.500  0.000  0.000
Pr  0.370  0.370  0.370
Al  0.000  0.000  0.000
Rh  0.000  0.000  0.500


Entry from Alexandria: a relaxed structure of ZrTa2CoPd (PBE-GGA).

Properties
E	-7.743	eV/atom
calculated formation energy	1.168	eV/atom
magnetic moment	2.3	Bohr magnetons per cell

Cell: 4.831 4.541 4.831 Å, 90.00 90.00 90.00°
Site moments in Bohr magnetons follow the coordinates.
Fractional coordinates of all 5 atoms:
Zr  0.500  0.500  0.500  0.12
Co  0.000  0.500  0.000  1.68
Ta  0.000  0.000  0.500  0.08
Pd  0.000  0.000  0.000  0.13
Ta  0.500  0.000  0.000  0.15


Entry from Alexandria: a relaxed structure of InHgSe2O8 (PBE-GGA).

Properties
E	-4.844	eV/atom
magnetic moment	0.0	Bohr magnetons per cell
formation energy from raw total energies	-0.705	eV per atom

Cell: 5.263 5.263 7.765 Å, 90.41 90.41 66.11°
Fractional coordinates of all 12 atoms:
Hg  0.000  0.000  0.500
O  0.732  0.732  0.411
Se  0.355  0.355  0.780
O  0.711  0.226  0.791
O  0.243  0.243  0.954
O  0.268  0.268  0.589
In  0.000  0.000  0.000
O  0.757  0.757  0.046
O  0.226  0.711  0.791
O  0.774  0.289  0.209
Se  0.645  0.645  0.220
O  0.289  0.774  0.209